No. 1
The following is a DFT calculation (PBE) of a relaxed structure of Cs2Pa2CuS6.

Cell: 7.3470 7.3470 8.4136 Å, 95.75 95.75 126.45°
With the nearest neighbours (Å) after each atom.
Sites, in units of the cell vectors:
S: 0.9580 0.5566 0.3095  2 Pa 2.64-2.69
S: 0.7487 0.7487 0.6400  1 Cu 2.24
S: 0.2513 0.2513 0.3600  1 Cu 2.24
S: 0.4434 0.0420 0.6905  2 Pa 2.64-2.69
Pa: 0.6618 0.3382 0.5000  6 S 2.64-2.78
Pa: 0.3382 0.6618 0.5000  6 S 2.64-2.78
Cs: 0.1442 0.8558 0.0000  6 S 3.43-3.64, 1 Cs 3.78
Cu: 0.0000 0.0000 0.5000  2 S 2.24
S: 0.0420 0.4434 0.6905  2 Pa 2.64-2.69
Cs: 0.8558 0.1442 0.0000  6 S 3.43-3.64, 1 Cs 3.78
S: 0.5566 0.9580 0.3095  2 Pa 2.64-2.69

Properties
- formation energy (no corrections) (eV/atom) = -1.33
- DOS at the Fermi energy (states/eV/f.u.) = 8.77
- spin magnetization (μB/f.u.) = 1.08
- crystal system = monoclinic
- SG = C2/m, No. 12

=====

No. 2
The following is a DFT calculation (PBE) of a relaxed structure of CsPaCu2Se4.

Cell: 6.4572 7.2979 7.2979 Å, 75.02 63.74 63.74°
With the nearest neighbours (Å) after each atom.
Sites, in units of the cell vectors:
Se: 0.5683 0.4994 0.8378  1 Cu 2.30
Cs: 0.0000 0.0000 0.0000  8 Se 3.76-3.84
Cu: 0.8708 0.6292 0.6292  2 Se 2.30, 1 Cu 2.48
Se: 0.0945 0.8378 0.4994  1 Cu 2.30
Cu: 0.1292 0.3708 0.3708  2 Se 2.30, 1 Cu 2.48
Se: 0.9055 0.5006 0.1622  1 Cu 2.30
Se: 0.4317 0.1622 0.5006  1 Cu 2.30
Pa: 0.5000 0.5000 0.5000  4 Se 2.69

Properties
- formation energy (no corrections) (eV/atom) = -0.73
- spin magnetization (μB/f.u.) = 0.00
- crystal system = orthorhombic
- SG = I222, No. 23

=====

No. 3
The following is a DFT calculation (PBE) of a relaxed structure of Cs2PaCu2Se4.

Cell: 4.1688 8.5247 7.9020 Å, 107.49 105.29 90.00°
With the nearest neighbours (Å) after each atom.
Sites, in units of the cell vectors:
Cs: 0.8611 0.4340 0.7222  7 Se 3.56-3.88
Cs: 0.1389 0.5660 0.2778  7 Se 3.56-3.88
Cu: 0.3251 0.0171 0.6503  4 Se 2.47-2.58
Se: 0.4801 0.2231 0.9603  1 Cu 2.47
Se: 0.5199 0.7769 0.0397  1 Cu 2.47
Cu: 0.6749 0.9829 0.3497  4 Se 2.47-2.58
Se: 0.1957 0.1529 0.3914  3 Cu 2.50-2.58
Se: 0.8043 0.8472 0.6086  3 Cu 2.50-2.58
Pa: 0.0000 0.0000 0.0000  6 Se 2.86-2.90

Properties
- formation energy (no corrections) (eV/atom) = -1.01
- DOS at the Fermi energy (states/eV/f.u.) = 4.94
- spin magnetization (μB/f.u.) = 1.01
- crystal system = monoclinic
- SG = C2/m, No. 12

=====

No. 4
The following is a DFT calculation (PBE) of a relaxed structure of CsPa2CuSe5.

Cell: 8.0137 8.0137 9.3001 Å, 115.52 115.52 90.00°
With the nearest neighbours (Å) after each atom.
Sites, in units of the cell vectors:
Cs: 0.2500 0.2500 0.5000  10 Se 3.61-3.69, 4 Cu 4.01
Pa: 0.1583 0.3417 0.0000  8 Se 2.89-3.02
Cu: 0.7500 0.2500 0.5000  4 Se 2.48
Se: 0.5000 0.5000 0.0000  4 Pa 3.02
Se: 0.7655 0.9802 0.2457  1 Cu 2.48
Se: 0.5198 0.7345 0.7543  1 Cu 2.48
Se: 0.2345 0.0198 0.7543  1 Cu 2.48
Se: 0.9802 0.4802 0.2457  1 Cu 2.48
Pa: 0.8417 0.6583 0.0000  8 Se 2.89-3.02
Se: 0.4802 0.2655 0.2457  1 Cu 2.48
Pa: 0.3417 0.8417 0.0000  8 Se 2.89-3.02
Se: 0.7345 0.2345 0.7543  1 Cu 2.48
Se: 0.0000 0.0000 0.0000  4 Pa 3.02
Cu: 0.2500 0.7500 0.5000  4 Se 2.48
Pa: 0.6583 0.1583 0.0000  8 Se 2.89-3.02
Cs: 0.7500 0.7500 0.5000  10 Se 3.61-3.69, 4 Cu 4.01
Se: 0.2655 0.7655 0.2457  1 Cu 2.48
Se: 0.0198 0.5198 0.7543  1 Cu 2.48

Properties
- formation energy (no corrections) (eV/atom) = -1.18
- DOS at the Fermi energy (states/eV/f.u.) = 5.87
- spin magnetization (μB/f.u.) = 1.93
- crystal system = tetragonal
- SG = I4/mcm, No. 140

=====

No. 5
The following is a DFT calculation (PBE) of a relaxed structure of Cs3Pa3CuSe8.

Cell: 8.8331 8.2028 9.4023 Å, 111.58 90.00 122.58°
With the nearest neighbours (Å) after each atom.
Sites, in units of the cell vectors:
Se: 0.7308 0.4616 0.6890  3 Pa 2.90-2.92
Cu: 0.0000 0.0000 0.5000  2 Se 2.41
Se: 0.3125 0.0615 0.3012  2 Pa 2.80-2.84
Cs: 0.5000 0.5000 0.0000  6 Se 3.58-3.72
Pa: 0.5000 0.5000 0.5000  6 Se 2.80-2.94
Cs: 0.0000 0.5000 0.0000  6 Se 3.58-3.72
Se: 0.8073 0.6145 0.3455  1 Cu 2.41
Se: 0.7490 0.0615 0.3012  2 Pa 2.80-2.84
Se: 0.2510 0.9385 0.6988  2 Pa 2.80-2.84
Se: 0.1927 0.3855 0.6545  1 Cu 2.41
Pa: 0.0000 0.5000 0.5000  6 Se 2.80-2.94
Se: 0.2692 0.5384 0.3110  3 Pa 2.90-2.92
Cs: 0.0000 0.0000 0.0000  6 Se 3.59-3.65
Se: 0.6875 0.9385 0.6988  2 Pa 2.80-2.84
Pa: 0.5000 0.0000 0.5000  6 Se 2.84-2.90

Properties
- formation energy (no corrections) (eV/atom) = -1.19
- DOS at the Fermi energy (states/eV/f.u.) = 14.50
- spin magnetization (μB/f.u.) = 3.01
- crystal system = monoclinic
- SG = C2/m, No. 12

=====

No. 6
The following is a DFT calculation (PBE) of a relaxed structure of Cs2PaCu2Se6.

Cell: 7.7362 7.7127 8.3604 Å, 117.28 90.00 120.10°
With the nearest neighbours (Å) after each atom.
Sites, in units of the cell vectors:
Cu: 0.9173 0.8347 0.7492  3 Se 2.30
Se: 0.7411 0.9986 0.2580  1 Cu 2.30
Se: 0.2575 0.9986 0.2580  1 Cu 2.30
Cs: 0.7353 0.4706 0.2068  1 Cu 3.85, 9 Se 3.87-3.96
Se: 0.2589 0.0014 0.7420  1 Cu 2.30
Se: 0.2585 0.5170 0.2611  1 Cu 2.30
Cs: 0.2647 0.5294 0.7932  1 Cu 3.85, 9 Se 3.87-3.96
Se: 0.7415 0.4830 0.7389  1 Cu 2.30
Se: 0.7425 0.0014 0.7420  1 Cu 2.30
Pa: 0.5000 0.0000 0.5000  6 Se 2.75
Cu: 0.0827 0.1653 0.2508  3 Se 2.30

Properties
- formation energy (no corrections) (eV/atom) = -0.77
- DOS at the Fermi energy (states/eV/f.u.) = 7.26
- spin magnetization (μB/f.u.) = 0.00
- crystal system = monoclinic
- SG = C2/m, No. 12